No. 1
A relaxed structure of SrMnBr2, computed with GGA-PBEsol.

CIF file:
```
data_SrMnBr2
_space_group_name_H-M_alt 'I 4/m m m'
_space_group_IT_number 139
_space_group_name_Hall '-I 4 2'
_cell_length_a 5.120
_cell_length_b 5.120
_cell_length_c 7.888
_cell_angle_alpha 90.00
_cell_angle_beta 90.00
_cell_angle_gamma 90.00
loop_
_atom_site_label
_atom_site_fract_x
_atom_site_fract_y
_atom_site_fract_z
_atom_site_occupancy
Sr1 0.000 0.000 0.000 1
Mn1 0.000 0.000 0.500 1
Br1 0.000 0.500 0.250 1
```

Summary:
E above lowest polymorph: 0.00 kcal/mol of atoms
N(E_F): 2.904 states/eV/f.u.
Magnetic moment: 5.00 μB per formula unit

=====

No. 2
A relaxed structure of SrMnBr2, computed with GGA-PBEsol.

CIF file:
```
data_SrMnBr2
_space_group_name_H-M_alt 'C 1 2/m 1'
_space_group_IT_number 12
_space_group_name_Hall '-C 2y'
_cell_length_a 7.301
_cell_length_b 9.167
_cell_length_c 3.983
_cell_angle_alpha 90.00
_cell_angle_beta 121.35
_cell_angle_gamma 90.00
loop_
_atom_site_label
_atom_site_fract_x
_atom_site_fract_y
_atom_site_fract_z
_atom_site_occupancy
Sr1 0.000 0.000 0.000 1
Mn1 0.000 0.500 0.000 1
Br1 0.250 0.250 0.500 1
```

Summary:
E above lowest polymorph: 1.59 kcal/mol of atoms
N(E_F): 2.228 states/eV/f.u.
Magnetic moment: 4.31 μB per formula unit

=====

No. 3
A relaxed structure of TaMnBr3, computed with GGA-PBEsol.

CIF file:
```
data_TaMnBr3
_space_group_name_H-M_alt 'P m -3 m'
_space_group_IT_number 221
_space_group_name_Hall '-P 4 2 3'
_cell_length_a 5.064
_cell_length_b 5.064
_cell_length_c 5.064
_cell_angle_alpha 90.00
_cell_angle_beta 90.00
_cell_angle_gamma 90.00
loop_
_atom_site_label
_atom_site_fract_x
_atom_site_fract_y
_atom_site_fract_z
_atom_site_occupancy
Ta1 0.000 0.000 0.000 1
Mn1 0.500 0.500 0.500 1
Br1 0.000 0.500 0.500 1
```

Summary:
N(E_F): 5.918 states/eV/f.u.
Magnetic moment: 8.71 μB per formula unit
E: -23.82 eV for the cell shown